A geometry-optimized K2RbCoF6 structure, computed with PBE+U.

Computed properties:
Theoretical density ... 3.135 g cm⁻³
Relative energy among the computed polymorphs ... 0.0347 eV/atom
Crystal system ... cubic
Spin magnetization ... 0.1 μB per formula unit

Unit cell a=8.9338 b=8.9338 c=8.9338 alpha=90.00 beta=90.00 gamma=90.00
Closest atoms and distances in Å follow each position.
Space group Fm-3m (No. 225)
Inequivalent atoms, fractional coordinates:
1 K 0.2500 0.2500 0.2500  12 F 3.18
2 Rb 0.0000 0.0000 0.0000  6 F 2.60
3 Co 0.0000 0.0000 0.5000  6 F 1.87
4 F 0.0000 0.0000 0.2909  1 Co 1.87